A relaxed Pr12Re3H5 crystal. Source: the Alexandria database, functional PBE.

Structure (extended XYZ):
```
80
Lattice="13.691 0.000 0.000 -4.564 12.908 0.000 -4.564 -6.454 11.179" Properties=species:S:1:pos:R:3 pbc="T T T"
H -1.141 10.488 1.397
H 2.282 3.227 5.589
H 5.705 5.647 4.192
H -1.141 3.227 2.795
H 1.141 4.034 9.781
H 0.000 0.000 0.000
H 5.705 -4.034 9.781
H 5.705 3.227 8.384
H -2.282 -3.227 5.589
H 7.986 -0.807 6.987
H 4.564 -3.227 5.589
H -2.282 6.454 0.000
H 1.141 -3.227 8.384
H 6.845 0.000 0.000
H -3.423 7.261 4.192
H -4.564 3.227 5.589
H -1.141 0.807 6.987
H 3.423 2.420 1.397
H 3.423 9.681 2.795
H 4.564 6.454 0.000
Pr 0.007 4.226 4.557
Pr 2.288 -2.228 6.622
Pr -1.151 4.440 9.797
Pr -2.288 -5.061 10.830
Pr -1.151 -3.416 8.024
Pr -1.130 7.478 4.536
Pr 6.290 7.071 5.938
Pr -4.008 5.837 5.938
Pr -3.433 10.894 1.381
Pr -2.288 2.832 6.970
Pr -0.555 1.003 2.434
Pr -4.570 9.286 4.208
Pr 8.572 0.617 5.240
Pr 5.145 1.812 10.146
Pr 6.264 6.466 2.086
Pr 9.134 -2.832 6.970
Pr -1.700 -0.012 9.093
Pr 4.557 2.228 6.622
Pr 5.715 9.870 3.155
Pr 1.700 1.800 10.125
Pr 7.401 -1.003 2.434
Pr -2.837 7.457 8.744
Pr 1.151 1.024 6.643
Pr 4.008 -1.620 3.504
Pr 1.700 -1.812 10.146
Pr 9.121 1.393 0.349
Pr 6.852 3.621 4.208
Pr 1.727 4.834 7.675
Pr 7.997 -4.440 9.797
Pr 5.145 -1.800 10.125
Pr 2.863 4.654 1.053
Pr 2.837 1.620 3.504
Pr -1.727 -0.617 5.240
Pr 5.694 -1.024 6.643
Pr -0.582 4.642 1.032
Pr 5.715 2.014 1.381
Pr 10.258 3.038 3.155
Pr 0.555 8.074 7.675
Pr 2.275 8.682 4.557
Pr 5.119 5.451 8.744
Pr -5.694 3.416 8.024
Pr -4.557 5.061 10.830
Pr 3.412 5.430 4.536
Pr -0.582 8.254 1.053
Pr -5.145 0.012 9.093
Pr 2.863 8.266 1.032
Pr 9.709 6.442 2.086
Pr 6.852 11.514 0.349
Re 3.423 7.261 6.987
Re -5.705 6.454 8.384
Re 7.986 4.034 1.397
Re 7.986 8.874 1.397
Re 5.705 0.807 4.192
Re -3.423 -2.420 9.781
Re 3.423 0.000 8.384
Re 1.141 6.454 2.795
Re 10.268 0.000 2.795
Re -1.141 5.647 6.987
Re -3.423 2.420 9.781
Re 1.141 -0.807 4.192
```

Properties
Total energy (eV/atom): -5.592
Size of the total moment (μB/f.u.): 0.00
Space-group type: Ia-3d (230)